# 1
Here is SiHg after structural relaxation from Alexandria via LeMat-Bulk. Energies are from PBE-GGA.

The structure in CIF format:
```
data_SiHg
_chemical_formula_sum 'Si1 Hg1'
_cell_length_a 2.8474
_cell_length_b 2.8474
_cell_length_c 5.1305
_cell_angle_alpha 90.00
_cell_angle_beta 90.00
_cell_angle_gamma 90.00
_space_group_name_H-M_alt 'P 4/m m m'
_space_group_IT_number 123
_space_group_name_Hall '-P 4 2'
loop_
_atom_site_label
_atom_site_type_symbol
_atom_site_fract_x
_atom_site_fract_y
_atom_site_fract_z
Si1 Si 0.0000 0.0000 0.0000
Hg1 Hg 0.5000 0.5000 0.5000
```

Results
Formation energy without anion corrections = 586 meV per atom
E above lowest polymorph = 441 meV/atom

# 2
Here is AcTbAg2Te4 after structural relaxation from Alexandria via LeMat-Bulk. Energies are from PBE-GGA.

The structure in CIF format:
```
data_AcTbAg2Te4
_chemical_formula_sum 'Ac2 Tb2 Ag4 Te8'
_cell_length_a 7.6220
_cell_length_b 7.9461
_cell_length_c 8.6981
_cell_angle_alpha 90.00
_cell_angle_beta 90.00
_cell_angle_gamma 90.00
_space_group_name_H-M_alt 'I 2 2 2'
_space_group_IT_number 23
loop_
_space_group_symop_operation_xyz
'x,y,z'
'-x,-y,z'
'x,-y,-z'
'-x,y,-z'
'x+1/2,y+1/2,z+1/2'
'-x+1/2,-y+1/2,z+1/2'
'x+1/2,-y+1/2,-z+1/2'
'-x+1/2,y+1/2,-z+1/2'
loop_
_atom_site_label
_atom_site_type_symbol
_atom_site_fract_x
_atom_site_fract_y
_atom_site_fract_z
Ac1 Ac 0.0000 0.0000 0.0000
Tb1 Tb 0.0000 0.0000 0.5000
Ag1 Ag 0.0000 0.5000 0.1630
Te1 Te 0.2266 0.2225 0.3058
```

Results
Formation energy without anion corrections = -823 meV per atom

# 3
Here is CaCd2Au2 after structural relaxation from Alexandria via LeMat-Bulk. Energies are from PBE-GGA.

The structure in CIF format:
```
data_CaCd2Au2
_chemical_formula_sum 'Ca2 Cd4 Au4'
_cell_length_a 7.6810
_cell_length_b 7.6810
_cell_length_c 3.8603
_cell_angle_alpha 90.00
_cell_angle_beta 90.00
_cell_angle_gamma 90.00
_space_group_name_H-M_alt 'P 4/m b m'
_space_group_IT_number 127
_space_group_name_Hall '-P 4 2ab'
loop_
_atom_site_label
_atom_site_type_symbol
_atom_site_fract_x
_atom_site_fract_y
_atom_site_fract_z
Ca1 Ca 0.0000 0.0000 0.0000
Cd1 Cd 0.1650 0.3350 0.5000
Au1 Au 0.1329 0.6329 0.0000
```

Results
E above lowest polymorph = 100 meV/atom
Formation enthalpy at 0 K = -367.2 meV per atom

# 4
Here is BaSrIn2Cl6 after structural relaxation from Alexandria via LeMat-Bulk. Energies are from PBE-GGA.

The structure in CIF format:
```
data_BaSrIn2Cl6
_chemical_formula_sum 'Ba3 Sr3 In6 Cl18'
_cell_length_a 7.9356
_cell_length_b 7.9356
_cell_length_c 20.2648
_cell_angle_alpha 90.00
_cell_angle_beta 90.00
_cell_angle_gamma 120.00
_space_group_name_H-M_alt 'R 3'
_space_group_IT_number 146
_space_group_name_Hall 'R 3'
loop_
_atom_site_label
_atom_site_type_symbol
_atom_site_fract_x
_atom_site_fract_y
_atom_site_fract_z
Ba1 Ba 0.0000 0.0000 0.0000
Sr1 Sr 0.0000 0.0000 0.4973
In1 In 0.0000 0.0000 0.2894
In2 In 0.0000 0.0000 0.7901
Cl1 Cl 0.0658 0.7148 0.5648
Cl2 Cl 0.0711 0.3757 0.0676
```

Results
Formation energy without anion corrections = -1803 meV per atom

# 5
Here is Pm2Ho2Pd3 after structural relaxation from Alexandria via LeMat-Bulk. Energies are from PBE-GGA.

The structure in CIF format:
```
data_Pm2Ho2Pd3
_chemical_formula_sum 'Pm4 Ho4 Pd6'
_cell_length_a 13.3990
_cell_length_b 3.9258
_cell_length_c 8.6569
_cell_angle_alpha 90.00
_cell_angle_beta 127.00
_cell_angle_gamma 90.00
_space_group_name_H-M_alt 'C 1 2/m 1'
_space_group_IT_number 12
loop_
_space_group_symop_operation_xyz
'x,y,z'
'-x,-y,-z'
'-x,y,-z'
'x,-y,z'
'x+1/2,y+1/2,z'
'-x+1/2,-y+1/2,-z'
'-x+1/2,y+1/2,-z'
'x+1/2,-y+1/2,z'
loop_
_atom_site_label
_atom_site_type_symbol
_atom_site_fract_x
_atom_site_fract_y
_atom_site_fract_z
Pm1 Pm 0.0833 0.0000 0.3920
Ho1 Ho 0.1750 0.5000 0.0768
Pd1 Pd 0.0000 0.0000 0.0000
Pd2 Pd 0.1220 0.5000 0.6946
```

Results
Formation enthalpy at 0 K = -695.5 meV per atom

# 6
Here is TlCd3P after structural relaxation from Alexandria via LeMat-Bulk. Energies are from PBE-GGA.

The structure in CIF format:
```
data_TlCd3P
_chemical_formula_sum 'Tl1 Cd3 P1'
_cell_length_a 5.5316
_cell_length_b 5.5316
_cell_length_c 5.5316
_cell_angle_alpha 90.00
_cell_angle_beta 90.00
_cell_angle_gamma 90.00
_space_group_name_H-M_alt 'P m -3 m'
_space_group_IT_number 221
_space_group_name_Hall '-P 4 2 3'
loop_
_atom_site_label
_atom_site_type_symbol
_atom_site_fract_x
_atom_site_fract_y
_atom_site_fract_z
Tl1 Tl 0.0000 0.0000 0.0000
Cd1 Cd 0.0000 0.0000 0.5000
P1 P 0.5000 0.5000 0.5000
```

Results
E above lowest polymorph = 582 meV/atom
Formation enthalpy at 0 K = 841.2 meV per atom

# 7
Here is Y2ScV2 after structural relaxation from Alexandria via LeMat-Bulk. Energies are from PBE-GGA.

The structure in CIF format:
```
data_Y2ScV2
_chemical_formula_sum 'Y4 Sc2 V4'
_cell_length_a 8.2132
_cell_length_b 8.2132
_cell_length_c 3.5525
_cell_angle_alpha 90.00
_cell_angle_beta 90.00
_cell_angle_gamma 90.00
_space_group_name_H-M_alt 'P 4/m b m'
_space_group_IT_number 127
_space_group_name_Hall '-P 4 2ab'
loop_
_atom_site_label
_atom_site_type_symbol
_atom_site_fract_x
_atom_site_fract_y
_atom_site_fract_z
Y1 Y 0.2029 0.2971 0.0000
Sc1 Sc 0.0000 0.0000 0.5000
V1 V 0.0825 0.5825 0.5000
```

Results
Formation enthalpy at 0 K = 348.1 meV per atom

# 8
Here is PrRhPb after structural relaxation from Alexandria via LeMat-Bulk. Energies are from PBE-GGA.

The structure in CIF format:
```
data_PrRhPb
_chemical_formula_sum 'Pr4 Rh4 Pb4'
_cell_length_a 8.1966
_cell_length_b 4.7367
_cell_length_c 8.4912
_cell_angle_alpha 90.00
_cell_angle_beta 108.89
_cell_angle_gamma 90.00
_space_group_name_H-M_alt 'C 1 2/m 1'
_space_group_IT_number 12
loop_
_space_group_symop_operation_xyz
'x,y,z'
'-x,-y,-z'
'-x,y,-z'
'x,-y,z'
'x+1/2,y+1/2,z'
'-x+1/2,-y+1/2,-z'
'-x+1/2,y+1/2,-z'
'x+1/2,-y+1/2,z'
loop_
_atom_site_label
_atom_site_type_symbol
_atom_site_fract_x
_atom_site_fract_y
_atom_site_fract_z
Pr1 Pr 0.2431 0.0000 0.2285
Rh1 Rh 0.1332 0.5000 0.4011
Pb1 Pb 0.0000 0.0000 0.5000
Pb2 Pb 0.0000 0.5000 0.0000
```

Results
Formation enthalpy at 0 K = -470.4 meV per atom

# 9
Here is SmMgGaPd3 after structural relaxation from Alexandria via LeMat-Bulk. Energies are from PBE-GGA.

The structure in CIF format:
```
data_SmMgGaPd3
_chemical_formula_sum 'Sm4 Mg4 Ga4 Pd12'
_cell_length_a 6.6143
_cell_length_b 12.4588
_cell_length_c 5.7736
_cell_angle_alpha 90.00
_cell_angle_beta 90.00
_cell_angle_gamma 90.00
_space_group_name_H-M_alt 'C m c m'
_space_group_IT_number 63
_space_group_name_Hall '-C 2c 2'
loop_
_atom_site_label
_atom_site_type_symbol
_atom_site_fract_x
_atom_site_fract_y
_atom_site_fract_z
Sm1 Sm 0.0000 0.1878 0.2500
Mg1 Mg 0.0000 0.4370 0.2500
Ga1 Ga 0.0000 0.1373 0.7500
Pd1 Pd 0.0000 0.3393 0.7500
Pd2 Pd 0.2052 0.0000 0.0000
```

Results
Formation enthalpy at 0 K = -529.6 meV per atom

# 10
Here is ErTm4Rh4 after structural relaxation from Alexandria via LeMat-Bulk. Energies are from PBE-GGA.

The structure in CIF format:
```
data_ErTm4Rh4
_chemical_formula_sum 'Er2 Tm8 Rh8'
_cell_length_a 8.6971
_cell_length_b 8.6971
_cell_length_c 5.5517
_cell_angle_alpha 90.00
_cell_angle_beta 90.00
_cell_angle_gamma 90.00
_space_group_name_H-M_alt 'P 42/n'
_space_group_IT_number 86
loop_
_space_group_symop_operation_xyz
'x,y,z'
'-x,-y,-z'
'-y,x+1/2,z+1/2'
'y,-x+1/2,-z+1/2'
'-x+1/2,-y+1/2,z'
'x+1/2,y+1/2,-z'
'y+1/2,-x,z+1/2'
'-y+1/2,x,-z+1/2'
loop_
_atom_site_label
_atom_site_type_symbol
_atom_site_fract_x
_atom_site_fract_y
_atom_site_fract_z
Er1 Er 0.2500 0.2500 0.2500
Tm1 Tm 0.0705 0.6625 0.1554
Rh1 Rh 0.0265 0.6260 0.6540
```

Results
Formation enthalpy at 0 K = -703.1 meV per atom

# 11
Here is K2RbTlGa after structural relaxation from Alexandria via LeMat-Bulk. Energies are from PBE-GGA.

The structure in CIF format:
```
data_K2RbTlGa
_chemical_formula_sum 'K2 Rb1 Tl1 Ga1'
_cell_length_a 6.6834
_cell_length_b 6.6834
_cell_length_c 5.7526
_cell_angle_alpha 90.00
_cell_angle_beta 90.00
_cell_angle_gamma 90.00
_space_group_name_H-M_alt 'P 4/m m m'
_space_group_IT_number 123
_space_group_name_Hall '-P 4 2'
loop_
_atom_site_label
_atom_site_type_symbol
_atom_site_fract_x
_atom_site_fract_y
_atom_site_fract_z
K1 K 0.0000 0.5000 0.0000
Rb1 Rb 0.0000 0.0000 0.5000
Tl1 Tl 0.5000 0.5000 0.5000
Ga1 Ga 0.5000 0.5000 0.0000
```

Results
E above lowest polymorph = 0 meV/atom
Formation enthalpy at 0 K = 55.4 meV per atom

# 12
Here is RbAu2Cl7 after structural relaxation from Alexandria via LeMat-Bulk. Energies are from PBE-GGA.

The structure in CIF format:
```
data_RbAu2Cl7
_chemical_formula_sum 'Rb2 Au4 Cl14'
_cell_length_a 7.7342
_cell_length_b 18.3108
_cell_length_c 4.5479
_cell_angle_alpha 90.00
_cell_angle_beta 90.00
_cell_angle_gamma 90.00
_space_group_name_H-M_alt 'C m m m'
_space_group_IT_number 65
_space_group_name_Hall '-C 2 2'
loop_
_atom_site_label
_atom_site_type_symbol
_atom_site_fract_x
_atom_site_fract_y
_atom_site_fract_z
Rb1 Rb 0.0000 0.0000 0.0000
Au1 Au 0.0000 0.3599 0.5000
Cl1 Cl 0.0000 0.3079 0.0000
Cl2 Cl 0.0000 0.5000 0.5000
Cl3 Cl 0.1990 0.1374 0.5000
```

Results
Formation energy without anion corrections = -495 meV per atom